## LaSc2SnH (PBE-GGA)

Data for a relaxed LaSc2SnH crystal.

a b c (Å): 4.7402 4.7402 4.6142
angles (deg): 90.00 90.00 90.00
Space group P4/mmm (No. 123)
Symmetry-distinct sites (fractional):
La: 0.0000 0.0000 0.0000 [1 per cell]
Sc: 0.0000 0.5000 0.5000 [2 per cell]
Sn: 0.5000 0.5000 0.0000 [1 per cell]
H: 0.0000 0.0000 0.5000 [1 per cell]

For the total energy, the calculation gives -5.46 eV per atom.